1.
Here is CrAu3 after structural relaxation from the Alexandria database. Energies are from GGA-PBEsol.

Cell: 4.532 4.532 4.532 Å, 60.00 60.00 60.00°
Sites, in units of the cell vectors:
Cr 0.000 0.000 0.000
Au 0.250 0.250 0.250
Au 0.500 0.500 0.500
Au 0.750 0.750 0.750

The calculated volume is 16.5 Å³/atom. Its formation energy is 0.14 eV per atom.

***

2.
Here is CsSn3Hg after structural relaxation from the Alexandria database. Energies are from GGA-PBEsol.

Cell: 5.686 5.686 5.686 Å, 90.00 90.00 90.00°
Sites, in units of the cell vectors:
Cs 0.000 0.000 0.000
Sn 0.000 0.500 0.500
Sn 0.500 0.000 0.500
Sn 0.500 0.500 0.000
Hg 0.500 0.500 0.500

The calculated volume is 36.8 Å³/atom. Its formation energy is 0.28 eV per atom.

***

3.
Here is CaFeHg after structural relaxation from the Alexandria database. Energies are from GGA-PBEsol.

Cell: 4.695 4.695 4.695 Å, 60.00 60.00 60.00°
Sites, in units of the cell vectors:
Ca 0.000 0.000 0.000
Fe 0.500 0.500 0.500
Hg 0.250 0.250 0.250

The calculated volume is 24.4 Å³/atom. Its formation energy is 0.48 eV per atom.

***

4.
Here is YPdIN2 after structural relaxation from the Alexandria database. Energies are from GGA-PBEsol.

Cell: 4.188 4.188 5.004 Å, 90.00 90.00 90.00°
Sites, in units of the cell vectors:
Y 0.000 0.000 0.000
Pd 0.500 0.500 0.500
I 0.500 0.500 0.000
N 0.000 0.500 0.500
N 0.500 0.000 0.500

The calculated volume is 17.5 Å³/atom. Its energy relative to the elements, uncorrected is 0.79 eV/atom.

***

5.
Here is Ir3Os after structural relaxation from the Alexandria database. Energies are from GGA-PBEsol.

Cell: 2.726 2.726 8.751 Å, 90.00 90.00 120.00°
Sites, in units of the cell vectors:
Ir 0.000 0.000 0.000
Ir 0.333 0.667 0.255
Ir 0.333 0.667 0.745
Os 0.000 0.000 0.500

The calculated volume is 14.1 Å³/atom. Its formation energy is 0.04 eV per atom.

***

6.
Here is LiTi2Te4 after structural relaxation from the Alexandria database. Energies are from GGA-PBEsol.

Cell: 7.827 7.827 6.541 Å, 114.43 114.43 27.86°
Sites, in units of the cell vectors:
Li 0.000 0.000 0.000
Ti 0.249 0.249 0.261
Ti 0.751 0.751 0.739
Te 0.124 0.124 0.465
Te 0.370 0.370 0.042
Te 0.630 0.630 0.958
Te 0.876 0.876 0.535

The calculated volume is 24.2 Å³/atom. Its energy relative to the elements, uncorrected is -0.79 eV/atom.

***

| no. | total DFT energy (no corrections) (Ry per atom) |
| --- | --- |
| 1 | -0.3945 |
| 2 | -0.1898 |
| 3 | -0.2503 |
| 4 | -0.4061 |
| 5 | -0.7628 |
| 6 | -0.4016 |